No. 1
Here is RhPbCl at its PBEsol-relaxed geometry from the Alexandria database. Energies are from meta-GGA SCAN.

Calculated values
Formation energy (no corrections) = -0.119 eV/atom
Offset from the most stable computed form = 0 meV/atom
Crystal system = monoclinic

Geometry as CIF:
```
data_RhPbCl
_space_group_name_H-M_alt 'C 1 m 1'
_space_group_IT_number 8
_cell_length_a 11.700
_cell_length_b 3.363
_cell_length_c 3.452
_cell_angle_alpha 90.00
_cell_angle_beta 107.14
_cell_angle_gamma 90.00
loop_
_space_group_symop_operation_xyz
'x,y,z'
'x,-y,z'
'x+1/2,y+1/2,z'
'x+1/2,-y+1/2,z'
loop_
_atom_site_label
_atom_site_type_symbol
_atom_site_fract_x
_atom_site_fract_y
_atom_site_fract_z
Rh1 Rh 0.000 0.000 0.000
Pb1 Pb 0.382 0.000 0.382
Cl1 Cl 0.159 0.500 0.158
```

No. 2
Here is FeCuAs at its PBEsol-relaxed geometry from the Alexandria database. Energies are from meta-GGA SCAN.

Calculated values
ΔH_f (0 K) = 0.74 eV/f.u.
Crystal system = orthorhombic

Geometry as CIF:
```
data_FeCuAs
_space_group_name_H-M_alt 'F m m 2'
_space_group_IT_number 42
_space_group_name_Hall 'F 2 -2'
_cell_length_a 3.533
_cell_length_b 4.059
_cell_length_c 11.194
_cell_angle_alpha 90.00
_cell_angle_beta 90.00
_cell_angle_gamma 90.00
loop_
_atom_site_label
_atom_site_type_symbol
_atom_site_fract_x
_atom_site_fract_y
_atom_site_fract_z
Fe1 Fe 0.000 0.000 0.000
Cu1 Cu 0.000 0.000 0.653
As1 As 0.000 0.000 0.344
```

No. 3
Here is BiIN3 at its PBEsol-relaxed geometry from the Alexandria database. Energies are from meta-GGA SCAN.

Calculated values
Formation energy (no corrections) = 2.384 eV/atom
Crystal system = cubic

Geometry as CIF:
```
data_BiIN3
_space_group_name_H-M_alt 'P m -3 m'
_space_group_IT_number 221
_space_group_name_Hall '-P 4 2 3'
_cell_length_a 4.301
_cell_length_b 4.301
_cell_length_c 4.301
_cell_angle_alpha 90.00
_cell_angle_beta 90.00
_cell_angle_gamma 90.00
loop_
_atom_site_label
_atom_site_type_symbol
_atom_site_fract_x
_atom_site_fract_y
_atom_site_fract_z
Bi1 Bi 0.000 0.000 0.000
I1 I 0.500 0.500 0.500
N1 N 0.000 0.000 0.500
```

No. 4
Here is MoRu2 at its PBEsol-relaxed geometry from the Alexandria database. Energies are from meta-GGA SCAN.

Calculated values
ΔH_f (0 K) = 0.10 eV/f.u.
Crystal system = hexagonal

Geometry as CIF:
```
data_MoRu2
_space_group_name_H-M_alt 'P 63/m m c'
_space_group_IT_number 194
_space_group_name_Hall '-P 6c 2c'
_cell_length_a 4.2781
_cell_length_b 4.2781
_cell_length_c 5.3435
_cell_angle_alpha 90.00
_cell_angle_beta 90.00
_cell_angle_gamma 120.00
loop_
_atom_site_label
_atom_site_type_symbol
_atom_site_fract_x
_atom_site_fract_y
_atom_site_fract_z
Mo1 Mo 0.3333 0.6667 0.2500
Ru1 Ru 0.0000 0.0000 0.0000
Ru2 Ru 0.3333 0.6667 0.7500
```

No. 5
Here is Zn2TcSe at its PBEsol-relaxed geometry from the Alexandria database. Energies are from meta-GGA SCAN.

Calculated values
Formation energy (no corrections) = 0.286 eV/atom
Offset from the most stable computed form = 204 meV/atom
Crystal system = tetragonal

Geometry as CIF:
```
data_Zn2TcSe
_space_group_name_H-M_alt 'P 4/m m m'
_space_group_IT_number 123
_space_group_name_Hall '-P 4 2'
_cell_length_a 2.721
_cell_length_b 2.721
_cell_length_c 8.696
_cell_angle_alpha 90.00
_cell_angle_beta 90.00
_cell_angle_gamma 90.00
loop_
_atom_site_label
_atom_site_type_symbol
_atom_site_fract_x
_atom_site_fract_y
_atom_site_fract_z
Zn1 Zn 0.000 0.000 0.213
Tc1 Tc 0.500 0.500 0.000
Se1 Se 0.500 0.500 0.500
```

No. 6
Here is SrFeSi2 at its PBEsol-relaxed geometry from the Alexandria database. Energies are from meta-GGA SCAN.

Calculated values
Formation energy (no corrections) = 0.653 eV/atom
Crystal system = cubic

Geometry as CIF:
```
data_SrFeSi2
_space_group_name_H-M_alt 'F -4 3 m'
_space_group_IT_number 216
_space_group_name_Hall 'F -4 2 3'
_cell_length_a 6.522
_cell_length_b 6.522
_cell_length_c 6.522
_cell_angle_alpha 90.00
_cell_angle_beta 90.00
_cell_angle_gamma 90.00
loop_
_atom_site_label
_atom_site_type_symbol
_atom_site_fract_x
_atom_site_fract_y
_atom_site_fract_z
Sr1 Sr 0.000 0.000 0.000
Fe1 Fe 0.250 0.250 0.250
Si1 Si 0.000 0.000 0.500
Si2 Si 0.250 0.250 0.750
```

No. 7
Here is Cs2KYI6 at its PBEsol-relaxed geometry from the Alexandria database. Energies are from meta-GGA SCAN.

Calculated values
Formation energy (no corrections) = -1.655 eV/atom
Crystal system = cubic

Geometry as CIF:
```
data_Cs2KYI6
_space_group_name_H-M_alt 'F m -3 m'
_space_group_IT_number 225
_space_group_name_Hall '-F 4 2 3'
_cell_length_a 12.494
_cell_length_b 12.494
_cell_length_c 12.494
_cell_angle_alpha 90.00
_cell_angle_beta 90.00
_cell_angle_gamma 90.00
loop_
_atom_site_label
_atom_site_type_symbol
_atom_site_fract_x
_atom_site_fract_y
_atom_site_fract_z
Cs1 Cs 0.250 0.250 0.250
K1 K 0.000 0.000 0.000
Y1 Y 0.000 0.000 0.500
I1 I 0.000 0.000 0.262
```

No. 8
Here is YGaTe2N at its PBEsol-relaxed geometry from the Alexandria database. Energies are from meta-GGA SCAN.

Calculated values
Formation energy (no corrections) = 0.188 eV/atom
Crystal system = tetragonal

Geometry as CIF:
```
data_YGaTe2N
_space_group_name_H-M_alt 'P 4/m m m'
_space_group_IT_number 123
_space_group_name_Hall '-P 4 2'
_cell_length_a 6.020
_cell_length_b 6.020
_cell_length_c 4.043
_cell_angle_alpha 90.00
_cell_angle_beta 90.00
_cell_angle_gamma 90.00
loop_
_atom_site_label
_atom_site_type_symbol
_atom_site_fract_x
_atom_site_fract_y
_atom_site_fract_z
Y1 Y 0.000 0.000 0.000
Ga1 Ga 0.500 0.500 0.500
Te1 Te 0.000 0.500 0.000
N1 N 0.000 0.000 0.500
```

Repeat the seventh record exactly.
Here is Cs2KYI6 at its PBEsol-relaxed geometry from the Alexandria database. Energies are from meta-GGA SCAN.

Calculated values
Formation energy (no corrections) = -1.655 eV/atom
Crystal system = cubic

Geometry as CIF:
```
data_Cs2KYI6
_space_group_name_H-M_alt 'F m -3 m'
_space_group_IT_number 225
_space_group_name_Hall '-F 4 2 3'
_cell_length_a 12.494
_cell_length_b 12.494
_cell_length_c 12.494
_cell_angle_alpha 90.00
_cell_angle_beta 90.00
_cell_angle_gamma 90.00
loop_
_atom_site_label
_atom_site_type_symbol
_atom_site_fract_x
_atom_site_fract_y
_atom_site_fract_z
Cs1 Cs 0.250 0.250 0.250
K1 K 0.000 0.000 0.000
Y1 Y 0.000 0.000 0.500
I1 I 0.000 0.000 0.262
```

What did the third record say?
Here is BiIN3 at its PBEsol-relaxed geometry from the Alexandria database. Energies are from meta-GGA SCAN.

Calculated values
Formation energy (no corrections) = 2.384 eV/atom
Crystal system = cubic

Geometry as CIF:
```
data_BiIN3
_space_group_name_H-M_alt 'P m -3 m'
_space_group_IT_number 221
_space_group_name_Hall '-P 4 2 3'
_cell_length_a 4.301
_cell_length_b 4.301
_cell_length_c 4.301
_cell_angle_alpha 90.00
_cell_angle_beta 90.00
_cell_angle_gamma 90.00
loop_
_atom_site_label
_atom_site_type_symbol
_atom_site_fract_x
_atom_site_fract_y
_atom_site_fract_z
Bi1 Bi 0.000 0.000 0.000
I1 I 0.500 0.500 0.500
N1 N 0.000 0.000 0.500
```